Tc2NiPb after structural relaxation, computed with GGA-PBE.

Cell lengths 8.7453, 3.1437, 4.9055 Å; angles 90.00, 102.11, 90.00 degrees
Space group Cm (No. 8)
One atom of each set of equivalent atoms:
Tc  0.0000  0.0000  0.0000 [2 per cell]
Tc  0.2294  0.5000  0.1453 [2 per cell]
Ni  0.4779  0.0000  0.4114 [2 per cell]
Pb  0.2328  0.0000  0.6476 [2 per cell]

E_form (eV per atom): 0.45

---

ZrTa2Ga2 after structural relaxation, computed with GGA-PBE.

Cell lengths 7.1257, 7.1257, 3.4965 Å; angles 90.00, 90.00, 90.00 degrees
Space group P4/mbm (No. 127)
One atom of each set of equivalent atoms:
Zr  0.0000  0.0000  0.0000 [2 per cell]
Ta  0.1744  0.3256  0.5000 [4 per cell]
Ga  0.1243  0.6243  0.0000 [4 per cell]

E_form (eV per atom): -0.30

---

PrSm3Ho2 after structural relaxation, computed with GGA-PBE.

Cell lengths 7.2093, 10.1959, 21.6513 Å; angles 90.00, 90.00, 90.00 degrees
Space group Fddd (No. 70, origin choice 2)
One atom of each set of equivalent atoms:
Pr  0.1250  0.1250  0.1250 [8 per cell]
Sm  0.1250  0.1250  0.2916 [16 per cell]
Sm  0.1250  0.1250  0.6250 [8 per cell]
Ho  0.1250  0.1250  0.4589 [16 per cell]

Energy above the most stable polymorph in this dataset (eV per formula unit): 0.00
E_form (eV per atom): 0.01

---

Cu3Sb after structural relaxation, computed with GGA-PBE.

Cell lengths 6.2505, 6.2505, 6.2505 Å; angles 90.00, 90.00, 90.00 degrees
Space group Fm-3m (No. 225)
One atom of each set of equivalent atoms:
Cu  0.0000  0.0000  0.0000 [4 per cell]
Cu  0.2500  0.2500  0.2500 [8 per cell]
Sb  0.0000  0.0000  0.5000 [4 per cell]

Formation energy (no corrections) (eV per atom): 0.18

---

NdDy2Zr after structural relaxation, computed with GGA-PBE.

Cell lengths 3.4796, 3.4796, 34.0609 Å; angles 90.00, 90.00, 120.00 degrees
Space group R3m (No. 160, hexagonal axes)
One atom of each set of equivalent atoms:
Nd  0.0000  0.0000  0.0000 [3 per cell]
Dy  0.0000  0.0000  0.5769 [3 per cell]
Dy  0.0000  0.0000  0.7561 [3 per cell]
Zr  0.0000  0.0000  0.1665 [3 per cell]

Energy above the most stable polymorph in this dataset (eV per formula unit): 0.00
E_form (eV per atom): 0.09

---

MgTaGa after structural relaxation, computed with GGA-PBE.

Cell lengths 5.3317, 7.7229, 11.2239 Å; angles 90.00, 90.00, 90.00 degrees
Space group Fmmm (No. 69)
One atom of each set of equivalent atoms:
Mg  0.0000  0.1799  0.0000 [8 per cell]
Ta  0.2500  0.2500  0.2500 [8 per cell]
Ga  0.0000  0.0000  0.3827 [8 per cell]

E_form (eV per atom): 0.26

---

Respective total DFT energy (no corrections) values: -56.86; -79.66; -224.12; -62.72; -66.54; -125.50 eV/cell.